A PBEsol-optimized structure of CsRbH2, computed with SCAN.

Geometry as extended XYZ:
```
4
Lattice="-2.771 -2.513 3.482 2.100 -1.321 4.468 -1.447 2.355 4.299" Properties=species:S:1:pos:R:3 pbc="T T T"
H -1.589 -1.110 9.186
H -0.530 -0.370 3.062
Rb 0.000 0.000 0.000
Cs -1.059 -0.740 6.124
```

## Properties
final energy: -16.585 eV/atom
polymorph energy (0 for the lowest one): 0 meV per atom